Record 1
VASP calculation (PBE-GGA) on an optimized crystal structure of CdNiPt3.

Cell and atoms, written as CIF:
```
data_CdNiPt3
_space_group_name_H-M_alt 'P m -3 m'
_space_group_IT_number 221
_space_group_name_Hall '-P 4 2 3'
_cell_length_a 4.927
_cell_length_b 4.927
_cell_length_c 4.927
_cell_angle_alpha 90.00
_cell_angle_beta 90.00
_cell_angle_gamma 90.00
loop_
_atom_site_label
_atom_site_fract_x
_atom_site_fract_y
_atom_site_fract_z
_atom_site_occupancy
Cd1 0.000 0.000 0.000 1
Ni1 0.500 0.500 0.500 1
Pt1 0.000 0.000 0.500 1
```

Calculated values
Total magnetic moment ... 1.399 μB/f.u.
Calculated formation energy ... 1685 meV per atom
Uncorrected energy ... -16.4 eV for the cell shown

---

Record 2
VASP calculation (PBE-GGA) on an optimized crystal structure of Zr4SN.

Cell and atoms, written as CIF:
```
data_Zr4SN
_space_group_name_H-M_alt 'I 41 m d'
_space_group_IT_number 109
_space_group_name_Hall 'I 4bw -2'
_cell_length_a 8.013
_cell_length_b 8.013
_cell_length_c 7.033
_cell_angle_alpha 90.00
_cell_angle_beta 90.00
_cell_angle_gamma 90.00
loop_
_atom_site_label
_atom_site_fract_x
_atom_site_fract_y
_atom_site_fract_z
_atom_site_occupancy
Zr1 0.000 0.195 0.000 1
Zr2 0.000 0.211 0.457 1
S1 0.000 0.000 0.717 1
N1 0.000 0.000 0.237 1
```

Calculated values
Total magnetic moment ... 0.000 μB/f.u.
Uncorrected energy ... -212.3 eV for the cell shown
Energy relative to the elements, uncorrected ... -1071 meV per atom